# GGA-PBE Mn2CdCl, relaxed
# Uncorrected formation energy (kcal/mol of atoms): 8.04
# E above lowest polymorph (eV per atom): 0.3430
# Crystal system: orthorhombic
# Size of the total moment (Bohr magnetons per cell): 7.979
data_Mn2CdCl
_symmetry_space_group_name_H-M 'P 1'
_symmetry_Int_Tables_number 1
_symmetry_space_group_name_Hall 'P 1'
_cell_length_a 3.068
_cell_length_b 5.372
_cell_length_c 4.640
_cell_angle_alpha 90.00
_cell_angle_beta 90.00
_cell_angle_gamma 90.00
loop_
_atom_site_label
_atom_site_type_symbol
_atom_site_fract_x
_atom_site_fract_y
_atom_site_fract_z
Cl1 Cl 0.000 0.500 0.500
Mn1 Mn 0.500 0.500 0.000
Cd1 Cd 0.500 0.000 0.500
Mn2 Mn 0.000 0.000 0.000